[1]
Computed, not measured: a geometry-optimized ScTaSI2 structure at the PBE-GGA level of DFT.

Properties
The total magnetic moment is 2.60 μB/f.u. The formation energy (no corrections) comes out at 1.010 eV/atom. The density of states at the Fermi level is 6.33 states/eV per cell. As for the total energy: -4.072 eV per atom.

Unit cell a=5.5168 b=5.5168 c=4.7691 alpha=90.00 beta=90.00 gamma=90.00
Last column: nearest neighbours and their distance in Å.
Space group P4/mmm (No. 123)
Asymmetric unit:
Sc 0.0000 0.0000 0.0000 x1  2 S 2.38
Ta 0.5000 0.5000 0.0000 x1  8 I 3.65, 4 Sc 3.90
S 0.0000 0.0000 0.5000 x1  2 Sc 2.38
I 0.0000 0.5000 0.5000 x2  2 S 2.76

---

[2]
Computed, not measured: a geometry-optimized ScTeSI2 structure at the PBE-GGA level of DFT.

Properties
The total magnetic moment is 0.62 μB/f.u. The formation energy (no corrections) comes out at 0.239 eV/atom. The density of states at the Fermi level is 4.32 states/eV per cell. Its offset from the most stable computed form is 0.296 eV per atom. As for the total energy: -3.101 eV per atom.

Unit cell a=5.5002 b=5.5002 c=5.3000 alpha=90.00 beta=90.00 gamma=90.00
Last column: nearest neighbours and their distance in Å.
Space group P4/mmm (No. 123)
Asymmetric unit:
Sc 0.0000 0.0000 0.0000 x1  8 I 3.82, 4 Te 3.89
Te 0.5000 0.5000 0.0000 x1  2 S 2.65
S 0.5000 0.5000 0.5000 x1  2 Te 2.65, 4 I 2.75
I 0.0000 0.5000 0.5000 x2  2 S 2.75

---

[3]
Computed, not measured: a geometry-optimized ScTe2SI structure at the PBE-GGA level of DFT.

Properties
The total magnetic moment is 0.45 μB/f.u. The formation energy (no corrections) comes out at 0.172 eV/atom. The density of states at the Fermi level is 3.45 states/eV per cell. Its offset from the most stable computed form is 0.059 eV per atom. As for the total energy: -3.487 eV per atom.

Unit cell a=5.2470 b=5.2470 c=5.4588 alpha=90.00 beta=90.00 gamma=90.00
Last column: nearest neighbours and their distance in Å.
Space group P4/mmm (No. 123)
Asymmetric unit:
Sc 0.0000 0.0000 0.0000 x1  4 I 3.71, 8 Te 3.79
Te 0.0000 0.5000 0.5000 x2  2 S 2.62
S 0.5000 0.5000 0.5000 x1  4 Te 2.62, 2 I 2.73
I 0.5000 0.5000 0.0000 x1  2 S 2.73

---

Question: Which of these has the lowest density of states at the Fermi level?
Answer: ScTe2SI